# 1
Here is an optimized crystal structure of La2CdCo from Alexandria. Energies are from PBE.

abc: 3.420 3.420 8.932
angles: 90.00 90.00 90.00
Element x y z (fractional)
La: 0.000 0.000 0.000
La: 0.500 0.500 0.378
Cd: 0.000 0.000 0.644
Co: 0.500 0.500 0.812

Summary:
E_tot = -4.400 eV per atom
M_tot = 0.62 μB/cell
Fermi-level density of states = 3.9 states/eV/f.u.



# 2
Here is an optimized crystal structure of MnTlCr2S from Alexandria. Energies are from PBE.

abc: 5.185 5.185 5.268
angles: 90.00 90.00 90.00
Element x y z (fractional)
Mn: 0.000 0.000 0.000
Tl: 0.500 0.500 0.500
Cr: 0.000 0.500 0.500
Cr: 0.500 0.000 0.500
S: 0.500 0.500 0.000

Summary:
M_tot = 13.66 μB/cell
Fermi-level density of states = 3.9 states/eV/f.u.
formation energy from raw total energies = 8.14 eV/f.u.



# 3
Here is an optimized crystal structure of YTaPb2 from Alexandria. Energies are from PBE.

abc: 5.322 5.322 5.322
angles: 60.00 60.00 60.00
Element x y z (fractional)
Y: 0.000 0.000 0.000
Ta: 0.750 0.750 0.750
Pb: 0.250 0.250 0.250
Pb: 0.500 0.500 0.500

Summary:
E_tot = -5.876 eV per atom
M_tot = 2.71 μB/cell
Fermi-level density of states = 5.9 states/eV/f.u.



Question: The highest Fermi-level density of states belongs to which entry?
Answer: YTaPb2